Model a:
Density functional theory data (PBE) for a relaxed structure of MgScCuS3.

CIF file:
```
data_MgScCuS3
_cell_length_a 7.108
_cell_length_b 3.600
_cell_length_c 8.565
_cell_angle_alpha 90.00
_cell_angle_beta 101.65
_cell_angle_gamma 90.00
_space_group_name_H-M_alt 'P 1 21/m 1'
_space_group_IT_number 11
loop_
_space_group_symop_operation_xyz
'x,y,z'
'-x,-y,-z'
'-x,y+1/2,-z'
'x,-y+1/2,z'
loop_
_atom_site_label
_atom_site_type_symbol
_atom_site_fract_x
_atom_site_fract_y
_atom_site_fract_z
Mg1 Mg 0.216 0.250 0.275
Sc1 Sc 0.318 0.750 0.829
Cu1 Cu 0.090 0.250 0.587
S1 S 0.068 0.250 0.848
S2 S 0.268 0.750 0.519
S3 S 0.413 0.750 0.148
```



Model b:
Density functional theory data (PBE) for a relaxed structure of MgScCuS3.

CIF file:
```
data_MgScCuS3
_cell_length_a 3.587
_cell_length_b 12.004
_cell_length_c 9.828
_cell_angle_alpha 90.00
_cell_angle_beta 90.00
_cell_angle_gamma 90.00
_space_group_name_H-M_alt 'C m c m'
_space_group_IT_number 63
_space_group_name_Hall '-C 2c 2'
loop_
_atom_site_label
_atom_site_type_symbol
_atom_site_fract_x
_atom_site_fract_y
_atom_site_fract_z
Mg1 Mg 0.000 0.236 0.250
Sc1 Sc 0.000 0.000 0.000
Cu1 Cu 0.000 0.479 0.750
S1 S 0.000 0.102 0.750
S2 S 0.000 0.358 0.572
```



Stability, descending: model a, model b